VASP calculation (PBE with a Hubbard U) on an optimized crystal structure of Mn5Cl5O2.

abc: 3.7397 8.2017 10.8094
angles: 62.74 80.04 76.82
Each line ends with the local moment (μB).
Element x y z (fractional)
Mn 0.5035 0.7320 0.2609  4.56
Mn 0.8342 0.9681 0.3635  4.49
Mn 0.1658 0.0319 0.6365  4.49
Mn 0.4965 0.2680 0.7391  4.56
Mn 0.0000 0.0000 0.0000  4.63
Cl 0.7780 0.8148 0.6291  0.02
Cl 0.6120 0.7594 0.0165  0.05
Cl 0.5000 0.5000 0.5000  0.03
Cl 0.2220 0.1852 0.3709  0.02
Cl 0.3880 0.2406 0.9835  0.05
O 0.9564 0.8632 0.2240  0.07
O 0.0436 0.1368 0.7760  0.07

Results
Its symmetry is C2/m (12). The density of states at the Fermi level is 3.51 states/eV/cell. Its electronic total energy is -5.90 eV/atom.